# TaFeBiAu GGA-PBE optimized geometry
data_TaFeBiAu
_space_group_name_H-M_alt 'F -4 3 m'
_space_group_IT_number 216
_space_group_name_Hall 'F -4 2 3'
_cell_length_a 6.661
_cell_length_b 6.661
_cell_length_c 6.661
_cell_angle_alpha 90.00
_cell_angle_beta 90.00
_cell_angle_gamma 90.00
loop_
_atom_site_label
_atom_site_fract_x
_atom_site_fract_y
_atom_site_fract_z
Ta1 0.000 0.000 0.000
Fe1 0.250 0.250 0.750
Bi1 0.000 0.000 0.500
Au1 0.250 0.250 0.250
# - calculated volume (Å³/cell) = 295.5
# - electronic total energy (eV/atom) = -6.29
# - excess energy over the best structure of this formula in the dataset (meV/atom) = 47